First-principles (PBE+U) data for a geometry-optimized NaCrSi2O6 structure, as listed in Alexandria via LeMat-Bulk.

Cell and atoms, written as POSCAR:
```
NaCrSi2O6
1.0
-5.880 2.937 -0.369
-1.947 -1.727 6.046
0.710 4.488 2.828
Na Cr Si O
2 2 4 12
Direct
0.299 0.701 0.250 Na
0.701 0.299 0.750 Na
0.906 0.094 0.250 Cr
0.094 0.906 0.750 Cr
0.383 0.201 0.265 Si
0.201 0.383 0.765 Si
0.799 0.617 0.235 Si
0.617 0.799 0.735 Si
0.360 0.344 0.488 O
0.656 0.640 0.012 O
0.640 0.656 0.512 O
0.344 0.360 0.988 O
0.617 0.104 0.196 O
0.896 0.383 0.304 O
0.383 0.896 0.804 O
0.104 0.617 0.696 O
0.035 0.194 0.862 O
0.806 0.965 0.638 O
0.965 0.806 0.138 O
0.194 0.035 0.362 O
```

Values from the calculation:
space-group type = No. 15
volume = 109.9 Å³/f.u.
energy = -7.42 eV per atom